--- i ---
A PBEsol-optimized structure of Re2MoIr, computed with SCAN.

Output
- mass density (kg/m3) = 18847
- volume (Å³ per cell) = 58.2

Lattice parameters (Å, degrees): 2.741 4.428 4.795 90.00 90.00 90.00
Space group Pmm2 (No. 25)
Symmetry-distinct sites (fractional):
1 Re 0.000 0.000 0.000 [1 per cell]
2 Re 0.500 0.500 0.165 [1 per cell]
3 Mo 0.000 0.500 0.666 [1 per cell]
4 Ir 0.500 0.000 0.504 [1 per cell]



--- ii ---
A PBEsol-optimized structure of Re2MoIr, computed with SCAN.

Output
- mass density (kg/m3) = 18830
- volume (Å³ per cell) = 116.5

Lattice parameters (Å, degrees): 3.872 3.872 7.771 90.00 90.00 90.00
Space group I-4m2 (No. 119)
Symmetry-distinct sites (fractional):
1 Re 0.000 0.000 0.000 [2 per cell]
2 Re 0.000 0.500 0.250 [2 per cell]
3 Mo 0.000 0.000 0.500 [2 per cell]
4 Ir 0.000 0.500 0.750 [2 per cell]



Most stable: i



--- i ---
A PBEsol-optimized structure of MoIrRh, computed with SCAN.

Output
- mass density (kg/m3) = 15063
- volume (Å³ per cell) = 43.1

Lattice parameters (Å, degrees): 4.3022 4.3022 2.6895 90.00 90.00 120.00
Space group P-6m2 (No. 187)
Symmetry-distinct sites (fractional):
1 Mo 0.0000 0.0000 0.0000 [1 per cell]
2 Ir 0.6667 0.3333 0.5000 [1 per cell]
3 Rh 0.3333 0.6667 0.0000 [1 per cell]



--- ii ---
A PBEsol-optimized structure of MoIrRh, computed with SCAN.

Output
- mass density (kg/m3) = 15262
- volume (Å³ per cell) = 85.1

Lattice parameters (Å, degrees): 2.702 3.847 8.186 90.00 90.00 90.00
Space group Imm2 (No. 44)
Symmetry-distinct sites (fractional):
1 Mo 0.000 0.000 0.000 [2 per cell]
2 Ir 0.000 0.000 0.336 [2 per cell]
3 Rh 0.000 0.000 0.668 [2 per cell]



Most stable: ii



--- i ---
A PBEsol-optimized structure of Mo2IrRu, computed with SCAN.

Output
- mass density (kg/m3) = 13991
- volume (Å³ per cell) = 57.6

Lattice parameters (Å, degrees): 2.731 3.853 5.473 90.00 90.00 90.00
Space group Pmmm (No. 47)
Symmetry-distinct sites (fractional):
1 Mo 0.000 0.000 0.247 [2 per cell]
2 Ir 0.500 0.500 0.500 [1 per cell]
3 Ru 0.500 0.500 0.000 [1 per cell]



--- ii ---
A PBEsol-optimized structure of Mo2IrRu, computed with SCAN.

Output
- mass density (kg/m3) = 13982
- volume (Å³ per cell) = 57.6

Lattice parameters (Å, degrees): 2.737 2.737 7.690 90.00 90.00 90.00
Space group P4/mmm (No. 123)
Symmetry-distinct sites (fractional):
1 Mo 0.000 0.000 0.247 [2 per cell]
2 Ir 0.500 0.500 0.500 [1 per cell]
3 Ru 0.500 0.500 0.000 [1 per cell]



--- iii ---
A PBEsol-optimized structure of Mo2IrRu, computed with SCAN.

Output
- mass density (kg/m3) = 13993
- volume (Å³ per cell) = 115.2

Lattice parameters (Å, degrees): 3.862 3.862 7.719 90.00 90.00 90.00
Space group I4/mmm (No. 139)
Symmetry-distinct sites (fractional):
1 Mo 0.000 0.500 0.250 [4 per cell]
2 Ir 0.000 0.000 0.000 [2 per cell]
3 Ru 0.000 0.000 0.500 [2 per cell]



Most stable: iii



--- i ---
A PBEsol-optimized structure of Sb2MoIr, computed with SCAN.

Output
- mass density (kg/m3) = 11895
- volume (Å³ per cell) = 148.4

Lattice parameters (Å, degrees): 6.313 8.768 3.025 90.00 117.54 90.00
Space group C2/m (No. 12)
Symmetry-distinct sites (fractional):
1 Sb 0.250 0.250 0.000 [4 per cell]
2 Mo 0.000 0.000 0.500 [2 per cell]
3 Ir 0.000 0.500 0.500 [2 per cell]



--- ii ---
A PBEsol-optimized structure of Sb2MoIr, computed with SCAN.

Output
- mass density (kg/m3) = 12599
- volume (Å³ per cell) = 70.1

Lattice parameters (Å, degrees): 3.324 3.324 6.343 90.00 90.00 90.00
Space group P4/mmm (No. 123)
Symmetry-distinct sites (fractional):
1 Sb 0.000 0.000 0.246 [2 per cell]
2 Mo 0.500 0.500 0.000 [1 per cell]
3 Ir 0.500 0.500 0.500 [1 per cell]



Most stable: ii